No. 1
Compound: TcP2RuAu
Source: the Alexandria database
Functional: PBE
Structure: optimized geometry

a b c (Å): 4.410 4.410 5.250
angles (deg): 90.00 90.00 90.00
Space group P4/mmm (No. 123)
Asymmetric unit:
Tc1 0.000 0.000 0.000 [1 per cell]
P1 0.000 0.500 0.500 [2 per cell]
Ru1 0.500 0.500 0.500 [1 per cell]
Au1 0.500 0.500 0.000 [1 per cell]

Total magnetic moment in μB per formula unit: 3.7
ρ in g cm⁻³: 7.4
Formation energy in eV/atom: 1.0264

No. 2
Compound: FePt2Rh
Source: the Alexandria database
Functional: PBE
Structure: optimized geometry

a b c (Å): 9.131 2.764 4.733
angles (deg): 90.00 100.66 90.00
Space group C2/m (No. 12)
Asymmetric unit:
Fe1 0.000 0.000 0.000 [2 per cell]
Pt1 0.246 0.500 0.247 [4 per cell]
Rh1 0.000 0.500 0.500 [2 per cell]

Total magnetic moment in μB per formula unit: 4.5
ρ in g cm⁻³: 15.5
Formation energy in eV/atom: -0.0895

No. 3
Compound: CsTlWBr6
Source: the Alexandria database
Functional: PBE
Structure: optimized geometry

a b c (Å): 7.9457 7.9457 14.3090
angles (deg): 90.00 90.00 120.00
Space group P-31c (No. 163)
Asymmetric unit:
Cs1 0.0000 0.0000 0.0000 [2 per cell]
Tl1 0.3333 0.6667 0.2500 [2 per cell]
W1 0.3333 0.6667 0.7500 [2 per cell]
Br1 0.0676 0.4072 0.6467 [12 per cell]

Total magnetic moment in μB per formula unit: 2.0
ρ in g cm⁻³: 4.2
E_tot in eV per atom: -3.74

No. 4
Compound: Ce12Sn4PbC3
Source: the Alexandria database
Functional: PBE
Structure: optimized geometry

a b c (Å): 10.356 10.356 10.356
angles (deg): 90.00 90.00 90.00
Space group Im-3m (No. 229)
Asymmetric unit:
Ce1 0.000 0.000 0.280 [12 per cell]
Ce2 0.000 0.250 0.500 [12 per cell]
Sn1 0.250 0.250 0.250 [8 per cell]
Pb1 0.000 0.000 0.000 [2 per cell]
C1 0.000 0.000 0.500 [6 per cell]

Total magnetic moment in μB per formula unit: 9.0
ρ in g cm⁻³: 7.2
Formation energy in eV/atom: -0.2606